CaInHg3 | PBE-GGA | relaxed

It has space group C2/m (No. 12), with a = 19.983 Å, b = 5.006 Å, c = 5.628 Å, α = 90.00°, β = 92.52° and γ = 90.00°. The asymmetric unit holds Ca at (0.106, 0.000, 0.007), In at (0.130, 0.500, 0.442), Hg at (0.015, 0.500, 0.759), Hg at (0.200, 0.000, 0.529) and Hg at (0.210, 0.500, 0.959).

The total energy comes out at -0.097 Ry/atom. For the formation energy, the calculation gives -0.197 eV/atom. Its excess energy over the best structure of this formula in the dataset is 0.0 meV/atom. As for the crystal system: monoclinic. The density of states at the Fermi level comes out at 0.476 states/eV per atom. The calculation puts the magnetic moment at 0.000 μB/cell.